The following is a PBE-GGA calculation of a geometry-optimized Ti5AlFe6 structure, from Alexandria via LeMat-Bulk.

## Properties
- space-group type = Immm, No. 71

abc: 7.188 7.188 7.188
angles: 146.43 131.78 60.03
Positions (direct):
Ti 0.000 0.000 0.000
Ti 0.168 0.668 0.500
Ti 0.340 0.340 0.000
Ti 0.660 0.660 0.000
Ti 0.832 0.332 0.500
Al 0.500 0.000 0.500
Fe 0.080 0.832 0.248
Fe 0.245 0.500 0.745
Fe 0.416 0.168 0.248
Fe 0.584 0.832 0.752
Fe 0.755 0.500 0.255
Fe 0.920 0.168 0.752

The following is a PBE-GGA calculation of a geometry-optimized TiAl2FeW structure, from Alexandria via LeMat-Bulk.

## Properties
- space-group type = P4/mmm, No. 123

abc: 4.355 4.355 4.309
angles: 90.00 90.00 90.00
Positions (direct):
Ti 0.000 0.000 0.000
Al 0.000 0.500 0.500
Al 0.500 0.000 0.500
Fe 0.000 0.000 0.500
W 0.500 0.500 0.000

The following is a PBE-GGA calculation of a geometry-optimized TiAlZnFe2 structure, from Alexandria via LeMat-Bulk.

## Properties
- space-group type = P4/mmm, No. 123

abc: 4.294 4.294 4.927
angles: 90.00 90.00 90.00
Positions (direct):
Ti 0.000 0.000 0.000
Al 0.000 0.000 0.500
Zn 0.500 0.500 0.500
Fe 0.000 0.500 0.000
Fe 0.500 0.000 0.000

The following is a PBE-GGA calculation of a geometry-optimized ZrTiAl2Fe structure, from Alexandria via LeMat-Bulk.

## Properties
- space-group type = P4/mmm, No. 123

abc: 4.868 4.868 4.625
angles: 90.00 90.00 90.00
Positions (direct):
Zr 0.000 0.000 0.000
Ti 0.000 0.000 0.500
Al 0.000 0.500 0.500
Al 0.500 0.000 0.500
Fe 0.500 0.500 0.000

The following is a PBE-GGA calculation of a geometry-optimized Zr2TiAlFe structure, from Alexandria via LeMat-Bulk.

## Properties
- space-group type = P4/mmm, No. 123

abc: 4.755 4.755 4.555
angles: 90.00 90.00 90.00
Positions (direct):
Zr 0.000 0.500 0.000
Zr 0.500 0.000 0.000
Ti 0.000 0.000 0.500
Al 0.500 0.500 0.500
Fe 0.500 0.500 0.000

The following is a PBE-GGA calculation of a geometry-optimized Al2TlFe2 structure, from Alexandria via LeMat-Bulk.

## Properties
- space-group type = P4/mbm, No. 127

abc: 6.958 6.958 3.151
angles: 90.00 90.00 90.00
Positions (direct):
Al 0.142 0.358 0.000
Al 0.358 0.858 0.000
Al 0.642 0.142 0.000
Al 0.858 0.642 0.000
Tl 0.000 0.000 0.500
Tl 0.500 0.500 0.500
Fe 0.143 0.643 0.500
Fe 0.357 0.143 0.500
Fe 0.643 0.857 0.500
Fe 0.857 0.357 0.500

The following is a PBE-GGA calculation of a geometry-optimized AlTlFe2 structure, from Alexandria via LeMat-Bulk.

## Properties
- space-group type = Pmm2, No. 25

abc: 2.995 4.206 5.046
angles: 90.00 90.00 90.00
Positions (direct):
Al 0.000 0.000 0.000
Tl 0.000 0.500 0.383
Fe 0.500 0.000 0.604
Fe 0.500 0.500 0.873

The following is a PBE-GGA calculation of a geometry-optimized Al2TlFe structure, from Alexandria via LeMat-Bulk.

## Properties
- space-group type = Fm-3m, No. 225

abc: 4.618 4.618 4.618
angles: 60.00 60.00 60.00
Positions (direct):
Al 0.250 0.250 0.250
Al 0.750 0.750 0.750
Tl 0.000 0.000 0.000
Fe 0.500 0.500 0.500

The following is a PBE-GGA calculation of a geometry-optimized AlTlFe2 structure, from Alexandria via LeMat-Bulk.

## Properties
- space-group type = I-4m2, No. 119

abc: 4.916 4.916 4.916
angles: 133.85 133.85 67.32
Positions (direct):
Al 0.000 0.000 0.000
Tl 0.750 0.250 0.500
Fe 0.250 0.750 0.500
Fe 0.500 0.500 0.000

The following is a PBE-GGA calculation of a geometry-optimized Al2TlFe structure, from Alexandria via LeMat-Bulk.

## Properties
- space-group type = F-43m, No. 216

abc: 4.649 4.649 4.649
angles: 60.00 60.00 60.00
Positions (direct):
Al 0.000 0.000 0.000
Al 0.250 0.250 0.250
Tl 0.750 0.750 0.750
Fe 0.500 0.500 0.500

The following is a PBE-GGA calculation of a geometry-optimized Al2TlFe2 structure, from Alexandria via LeMat-Bulk.

## Properties
- space-group type = P4/mbm, No. 127

abc: 7.453 7.453 2.764
angles: 90.00 90.00 90.00
Positions (direct):
Al 0.130 0.370 0.000
Al 0.370 0.870 0.000
Al 0.630 0.130 0.000
Al 0.870 0.630 0.000
Tl 0.000 0.000 0.000
Tl 0.500 0.500 0.000
Fe 0.161 0.661 0.500
Fe 0.339 0.161 0.500
Fe 0.661 0.839 0.500
Fe 0.839 0.339 0.500

The following is a PBE-GGA calculation of a geometry-optimized AlTlFe2 structure, from Alexandria via LeMat-Bulk.

## Properties
- space-group type = R3m, No. 160

abc: 8.740 8.740 8.740
angles: 19.87 19.87 19.87
Positions (direct):
Al 0.000 0.000 0.000
Tl 0.768 0.768 0.768
Fe 0.260 0.260 0.260
Fe 0.528 0.528 0.528

The following is a PBE-GGA calculation of a geometry-optimized Al2TlFe structure, from Alexandria via LeMat-Bulk.

## Properties
- space-group type = I-42d, No. 122

abc: 9.277 9.277 9.277
angles: 154.57 154.57 36.28
Positions (direct):
Al 0.071 0.625 0.946
Al 0.375 0.321 0.446
Al 0.679 0.125 0.054
Al 0.875 0.929 0.554
Tl 0.250 0.750 0.500
Tl 0.500 0.500 0.000
Fe 0.000 0.000 0.000
Fe 0.750 0.250 0.500

The following is a PBE-GGA calculation of a geometry-optimized Al2TlFe structure, from Alexandria via LeMat-Bulk.

## Properties
- space-group type = P4/mmm, No. 123

abc: 2.939 2.939 8.292
angles: 90.00 90.00 90.00
Positions (direct):
Al 0.000 0.000 0.163
Al 0.000 0.000 0.837
Tl 0.500 0.500 0.500
Fe 0.500 0.500 0.000

The following is a PBE-GGA calculation of a geometry-optimized Al2TlFe structure, from Alexandria via LeMat-Bulk.

## Properties
- space-group type = I-4m2, No. 119

abc: 4.946 4.946 4.946
angles: 132.70 132.70 69.13
Positions (direct):
Al 0.000 0.000 0.000
Al 0.750 0.250 0.500
Tl 0.500 0.500 0.000
Fe 0.250 0.750 0.500

The following is a PBE-GGA calculation of a geometry-optimized Al3TlFe structure, from Alexandria via LeMat-Bulk.

## Properties
- space-group type = Pm-3m, No. 221

abc: 4.632 4.632 4.632
angles: 90.00 90.00 90.00
Positions (direct):
Al 0.000 0.000 0.500
Al 0.000 0.500 0.000
Al 0.500 0.000 0.000
Tl 0.500 0.500 0.500
Fe 0.000 0.000 0.000

The following is a PBE-GGA calculation of a geometry-optimized Al2TlFe structure, from Alexandria via LeMat-Bulk.

## Properties
- space-group type = Cmmm, No. 65

abc: 4.927 4.927 3.116
angles: 90.00 90.00 110.96
Positions (direct):
Al 0.000 0.500 0.000
Al 0.500 0.000 0.000
Tl 0.000 0.000 0.500
Fe 0.500 0.500 0.500

The following is a PBE-GGA calculation of a geometry-optimized AlTlFe2 structure, from Alexandria via LeMat-Bulk.

## Properties
- space-group type = R-3m, No. 166

abc: 8.773 8.773 8.773
angles: 19.09 19.09 19.09
Positions (direct):
Al 0.000 0.000 0.000
Tl 0.500 0.500 0.500
Fe 0.256 0.256 0.256
Fe 0.744 0.744 0.744

The following is a PBE-GGA calculation of a geometry-optimized Al2TlFe structure, from Alexandria via LeMat-Bulk.

## Properties
- space-group type = Cm, No. 8

abc: 4.578 4.578 6.784
angles: 109.19 109.19 35.79
Positions (direct):
Al 0.000 0.000 0.000
Al 0.192 0.192 0.720
Tl 0.831 0.831 0.308
Fe 0.455 0.455 0.688

The following is a PBE-GGA calculation of a geometry-optimized AlTlFe2 structure, from Alexandria via LeMat-Bulk.

## Properties
- space-group type = P4/mmm, No. 123

abc: 3.945 3.945 3.929
angles: 90.00 90.00 90.00
Positions (direct):
Al 0.000 0.000 0.000
Tl 0.500 0.500 0.000
Fe 0.000 0.500 0.500
Fe 0.500 0.000 0.500

The following is a PBE-GGA calculation of a geometry-optimized AlTlFe structure, from Alexandria via LeMat-Bulk.

## Properties
- space-group type = P-6m2, No. 187

abc: 4.347 4.347 3.270
angles: 90.00 90.00 120.00
Positions (direct):
Al 0.000 0.000 0.000
Tl 0.333 0.667 0.500
Fe 0.667 0.333 0.000

The following is a PBE-GGA calculation of a geometry-optimized AlTlFe2 structure, from Alexandria via LeMat-Bulk.

## Properties
- space-group type = C2/m, No. 12

abc: 4.768 4.768 2.855
angles: 90.21 90.21 108.32
Positions (direct):
Al 0.000 0.000 0.000
Tl 0.500 0.500 0.000
Fe 0.000 0.500 0.500
Fe 0.500 0.000 0.500

The following is a PBE-GGA calculation of a geometry-optimized Al2TlFe structure, from Alexandria via LeMat-Bulk.

## Properties
- space-group type = C2/m, No. 12

abc: 4.573 4.573 5.537
angles: 101.93 101.93 39.74
Positions (direct):
Al 0.227 0.227 0.180
Al 0.773 0.773 0.820
Tl 0.000 0.000 0.500
Fe 0.500 0.500 0.000

The following is a PBE-GGA calculation of a geometry-optimized Al2TlFe structure, from Alexandria via LeMat-Bulk.

## Properties
- space-group type = Imm2, No. 44

abc: 6.946 6.946 6.946
angles: 157.00 145.39 41.97
Positions (direct):
Al 0.000 0.000 0.000
Al 0.660 0.160 0.500
Tl 0.352 0.352 0.000
Fe 0.157 0.657 0.500

The following is a PBE-GGA calculation of a geometry-optimized Al2TlFe structure, from Alexandria via LeMat-Bulk.

## Properties
- space-group type = Pm, No. 6

abc: 3.290 4.234 5.091
angles: 90.00 90.40 90.00
Positions (direct):
Al 0.000 0.000 0.000
Al 0.499 0.500 0.881
Tl 0.996 0.500 0.398
Fe 0.495 0.000 0.644

The following is a PBE-GGA calculation of a geometry-optimized AlTlFe3 structure, from Alexandria via LeMat-Bulk.

## Properties
- space-group type = Pm-3m, No. 221

abc: 4.849 4.849 4.849
angles: 90.00 90.00 90.00
Positions (direct):
Al 0.000 0.000 0.000
Tl 0.500 0.500 0.500
Fe 0.000 0.500 0.500
Fe 0.500 0.000 0.500
Fe 0.500 0.500 0.000

The following is a PBE-GGA calculation of a geometry-optimized Al2TlFe structure, from Alexandria via LeMat-Bulk.

## Properties
- space-group type = P2/m, No. 10

abc: 3.118 4.404 5.345
angles: 90.00 103.43 90.00
Positions (direct):
Al 0.154 0.000 0.285
Al 0.846 0.000 0.715
Tl 0.500 0.500 0.000
Fe 0.500 0.500 0.500

The following is a PBE-GGA calculation of a geometry-optimized AlTlFe2 structure, from Alexandria via LeMat-Bulk.

## Properties
- space-group type = Cm, No. 8

abc: 5.155 5.155 4.326
angles: 113.39 113.39 36.33
Positions (direct):
Al 0.000 0.000 0.000
Tl 0.777 0.777 0.286
Fe 0.244 0.244 0.754
Fe 0.540 0.540 0.543

The following is a PBE-GGA calculation of a geometry-optimized Al2TlFe2 structure, from Alexandria via LeMat-Bulk.

## Properties
- space-group type = I4/mmm, No. 139

abc: 6.371 6.371 6.371
angles: 146.27 146.27 48.45
Positions (direct):
Al 0.250 0.750 0.500
Al 0.750 0.250 0.500
Tl 0.000 0.000 0.000
Fe 0.400 0.400 0.000
Fe 0.600 0.600 0.000

Number 1: VASP energy -99.237 eV for the cell shown. Number 2: VASP energy -33.575 eV for the cell shown. Number 3: VASP energy -24.473 eV for the cell shown. Number 4: VASP energy -27.284 eV for the cell shown. Number 5: VASP energy -35.860 eV for the cell shown. Number 6: VASP energy -52.372 eV for the cell shown. Number 7: VASP energy -21.829 eV for the cell shown. Number 8: VASP energy -16.242 eV for the cell shown. Number 9: VASP energy -21.703 eV for the cell shown. Number 10: VASP energy -16.209 eV for the cell shown. Number 11: VASP energy -51.584 eV for the cell shown. Number 12: VASP energy -21.579 eV for the cell shown. Number 13: VASP energy -32.139 eV for the cell shown. Number 14: VASP energy -18.260 eV for the cell shown. Number 15: VASP energy -16.814 eV for the cell shown. Number 16: VASP energy -21.813 eV for the cell shown. Number 17: VASP energy -16.735 eV for the cell shown. Number 18: VASP energy -21.387 eV for the cell shown. Number 19: VASP energy -17.429 eV for the cell shown. Number 20: VASP energy -21.597 eV for the cell shown. Number 21: VASP energy -13.099 eV for the cell shown. Number 22: VASP energy -21.525 eV for the cell shown. Number 23: VASP energy -17.259 eV for the cell shown. Number 24: VASP energy -17.878 eV for the cell shown. Number 25: VASP energy -17.161 eV for the cell shown. Number 26: VASP energy -23.198 eV for the cell shown. Number 27: VASP energy -17.001 eV for the cell shown. Number 28: VASP energy -21.825 eV for the cell shown. Number 29: VASP energy -25.606 eV for the cell shown.